Record 1
Compound: Ba3Mn2ZnS6
Source: Alexandria
Functional: PBE
Structure: relaxed

Structure (POSCAR):
```
Ba3Mn2ZnS6
1.0
7.1882 0.0000 0.0000
-3.5941 6.2252 0.0000
0.0000 0.0000 7.8109
Ba Mn Zn S
3 2 1 6
Direct
0.0000 0.0000 0.0000
0.3333 0.6667 0.6299
0.6667 0.3333 0.3701
0.3333 0.6667 0.1963
0.6667 0.3333 0.8037
0.0000 0.0000 0.5000
0.1641 0.3281 0.3025
0.1641 0.8359 0.3025
0.3281 0.1641 0.6975
0.6719 0.8359 0.3025
0.8359 0.1641 0.6975
0.8359 0.6719 0.6975
```

Properties
formation energy (no corrections) = -1.07 eV/atom
calculated volume = 29.1 Å³/atom
DOS(E_F) = 0.19 states/eV per atom

=====

Record 2
Compound: Ba2ZrMnS6
Source: Alexandria
Functional: PBE
Structure: relaxed

Structure (POSCAR):
```
Ba2ZrMnS6
1.0
6.9464 0.0000 0.0000
0.0000 6.8706 0.0000
-6.9260 0.0000 9.7527
Ba Zr Mn S
4 2 2 12
Direct
0.2443 0.0278 0.2489
0.2443 0.4722 0.7489
0.7557 0.5278 0.2511
0.7557 0.9722 0.7511
0.5000 0.0000 0.0000
0.5000 0.5000 0.5000
0.0000 0.0000 0.5000
0.0000 0.5000 0.0000
0.1902 0.2329 0.9745
0.1902 0.2671 0.4745
0.2384 0.7161 0.9731
0.2384 0.7839 0.4731
0.2914 0.5035 0.2407
0.2914 0.9965 0.7407
0.7086 0.0035 0.2593
0.7086 0.4965 0.7593
0.7616 0.2161 0.5269
0.7616 0.2839 0.0269
0.8098 0.7329 0.5255
0.8098 0.7671 0.0255
```

Properties
formation energy (no corrections) = -1.41 eV/atom
calculated volume = 23.3 Å³/atom
DOS(E_F) = 0.40 states/eV per atom

=====

Record 3
Compound: BaMnSb2
Source: Alexandria
Functional: PBE
Structure: relaxed

Structure (POSCAR):
```
BaMnSb2
1.0
2.1878 1.2631 7.1424
-2.1878 1.2631 7.1424
0.0000 -2.5263 7.1424
Ba Mn Sb
1 1 2
Direct
0.0000 0.0000 0.0000
0.5000 0.5000 0.5000
0.2223 0.2223 0.2223
0.7777 0.7777 0.7777
```

Properties
formation energy (no corrections) = -0.39 eV/atom
calculated volume = 29.6 Å³/atom
DOS(E_F) = 0.22 states/eV per atom

=====

Record 4
Compound: BaMnSb
Source: Alexandria
Functional: PBE
Structure: relaxed

Structure (POSCAR):
```
BaMnSb
1.0
-1.9554 1.9554 6.0696
1.9554 -1.9554 6.0696
1.9554 1.9554 -6.0696
Ba Mn Sb
1 1 1
Direct
0.0000 0.0000 0.0000
0.2763 0.2763 0.0000
0.7141 0.7141 0.0000
```

Properties
formation energy (no corrections) = -0.04 eV/atom
calculated volume = 30.9 Å³/atom
DOS(E_F) = 0.86 states/eV per atom